# CsRb2PdCl6, relaxed, DFT PBE
data_CsRb2PdCl6
_chemical_formula_sum 'Cs2 Rb4 Pd2 Cl12'
_cell_length_a 7.832
_cell_length_b 7.832
_cell_length_c 11.687
_cell_angle_alpha 90.00
_cell_angle_beta 90.00
_cell_angle_gamma 90.00
_symmetry_space_group_name_H-M 'I 4/m m m'
_symmetry_Int_Tables_number 139
_symmetry_space_group_name_Hall '-I 4 2'
loop_
_atom_site_label
_atom_site_fract_x
_atom_site_fract_y
_atom_site_fract_z
Cs1 0.000 0.000 0.000
Rb1 0.000 0.500 0.250
Pd1 0.000 0.000 0.500
Cl1 0.000 0.000 0.276
Cl2 0.212 0.212 0.500
# Mass density ... 2886 kg/m³
# E_form (uncorrected) ... -1240 kJ/mol of formula units